(1)
TiPtI2: relaxed, PBE.

Unit cell a=4.994 b=4.994 c=4.994 alpha=60.00 beta=60.00 gamma=60.00
Element x y z (fractional)
Ti  0.000  0.000  0.000
Pt  0.500  0.500  0.500
I  0.250  0.250  0.250
I  0.750  0.750  0.750

* raw formation energy: 373 meV/atom
* total moment: 0.000 μB per atom
* energy above the most stable polymorph in this dataset: 0.1867 eV/atom
* uncorrected energy: -3.886 eV per atom

***

(2)
Ca3Mg3In2: relaxed, PBE.

Unit cell a=7.725 b=7.725 c=4.631 alpha=90.00 beta=90.00 gamma=120.00
Element x y z (fractional)
Ca  0.000  0.402  0.000
Ca  0.402  0.000  0.000
Ca  0.598  0.598  0.000
Mg  0.000  0.766  0.500
Mg  0.234  0.234  0.500
Mg  0.766  0.000  0.500
In  0.333  0.667  0.500
In  0.667  0.333  0.500

* total moment: 0.000 μB per atom
* DFT formation energy: -0.22 eV/atom
* uncorrected energy: -2.249 eV per atom

***

(3)
NpSCl2: relaxed, PBE.

Unit cell a=6.925 b=6.925 c=8.650 alpha=90.00 beta=90.00 gamma=148.28
Element x y z (fractional)
Np  0.232  0.768  0.750
Np  0.768  0.232  0.250
S  0.398  0.602  0.250
S  0.602  0.398  0.750
Cl  0.158  0.842  0.070
Cl  0.158  0.842  0.430
Cl  0.842  0.158  0.570
Cl  0.842  0.158  0.930

* raw formation energy: -1405 meV/atom
* total moment: 0.750 μB per atom
* energy above the most stable polymorph in this dataset: 0.0000 eV/atom
* uncorrected energy: -6.596 eV per atom

***

(4)
FeNiAg2: relaxed, PBE.

Unit cell a=4.770 b=4.770 c=4.770 alpha=131.81 beta=131.81 gamma=70.54
Element x y z (fractional)
Fe  0.000  0.000  0.000
Ni  0.250  0.750  0.500
Ag  0.500  0.500  0.000
Ag  0.750  0.250  0.500

* total moment: 0.921 μB per atom
* DFT formation energy: 0.33 eV/atom
* energy above the most stable polymorph in this dataset: 0.1580 eV/atom
* uncorrected energy: -4.653 eV per atom

***

(5)
K2PrPaSe4: relaxed, PBE.

Unit cell a=7.428 b=4.262 c=8.150 alpha=90.00 beta=107.46 gamma=90.00
Element x y z (fractional)
K  0.000  0.000  0.000
K  0.500  0.500  0.000
Pr  0.000  0.500  0.500
Pa  0.500  0.000  0.500
Se  0.249  0.000  0.714
Se  0.272  0.500  0.289
Se  0.728  0.500  0.711
Se  0.751  0.000  0.286

* raw formation energy: -1518 meV/atom
* total moment: 0.242 μB per atom
* uncorrected energy: -5.319 eV per atom

***

(6)
SmPuN3: relaxed, PBE.

Unit cell a=6.286 b=3.444 c=12.592 alpha=90.00 beta=90.00 gamma=90.00
Element x y z (fractional)
Sm  0.145  0.250  0.204
Sm  0.355  0.750  0.704
Sm  0.645  0.250  0.296
Sm  0.855  0.750  0.796
Pu  0.227  0.750  0.455
Pu  0.273  0.250  0.955
Pu  0.727  0.750  0.045
Pu  0.773  0.250  0.545
N  0.024  0.250  0.404
N  0.149  0.750  0.042
N  0.157  0.250  0.797
N  0.343  0.750  0.297
N  0.351  0.250  0.542
N  0.476  0.750  0.904
N  0.524  0.250  0.096
N  0.649  0.750  0.458
N  0.657  0.250  0.703
N  0.843  0.750  0.203
N  0.851  0.250  0.958
N  0.976  0.750  0.596

* raw formation energy: -975 meV/atom
* total moment: 0.400 μB per atom
* uncorrected energy: -9.780 eV per atom

***

Look up the uncorrected energy of the sixth one.
-9.780 eV per atom

***

What is the formula in the first record?
TiPtI2

***

Copy entry 3 word for word.
NpSCl2: relaxed, PBE.

Unit cell a=6.925 b=6.925 c=8.650 alpha=90.00 beta=90.00 gamma=148.28
Element x y z (fractional)
Np  0.232  0.768  0.750
Np  0.768  0.232  0.250
S  0.398  0.602  0.250
S  0.602  0.398  0.750
Cl  0.158  0.842  0.070
Cl  0.158  0.842  0.430
Cl  0.842  0.158  0.570
Cl  0.842  0.158  0.930

* raw formation energy: -1405 meV/atom
* total moment: 0.750 μB per atom
* energy above the most stable polymorph in this dataset: 0.0000 eV/atom
* uncorrected energy: -6.596 eV per atom

***

Among the records above, which one has the highest total moment?
FeNiAg2